Record 1
{
  "formula": "YScGa4",
  "functional": "PBE",
  "state": "optimized geometry",
  "ef_ev_per_fu": -3.17,
  "polymorph_energy_mev_per_atom": 51,
  "volume_a3_per_cell": 112.5,
  "m_tot_mub_per_cell": 0.0,
  "lattice_angstrom": [[5.419, 0.000, 0.000], [2.709, 4.693, 0.000], [2.709, 1.564, 4.424]],
  "species": ["Ga", "Ga", "Ga", "Ga", "Sc", "Y"],
  "fractional_positions": [[0.625, 0.625, 0.124], [0.625, 0.625, 0.625], [0.124, 0.625, 0.625], [0.625, 0.124, 0.625], [0.000, 0.000, 0.000], [0.250, 0.250, 0.250]]
}

Record 2
{
  "formula": "Y2ScGa2",
  "functional": "PBE",
  "state": "optimized geometry",
  "ef_ev_per_fu": -1.17,
  "polymorph_energy_mev_per_atom": 342,
  "volume_a3_per_cell": 243.8,
  "m_tot_mub_per_cell": 1.3,
  "lattice_angstrom": [[8.573, 0.000, 0.000], [0.000, 8.573, 0.000], [0.000, 0.000, 3.317]],
  "species": ["Y", "Y", "Y", "Y", "Ga", "Ga", "Ga", "Ga", "Sc", "Sc"],
  "fractional_positions": [[0.868, 0.632, 0.000], [0.132, 0.368, 0.000], [0.368, 0.868, 0.000], [0.632, 0.132, 0.000], [0.171, 0.671, 0.500], [0.671, 0.829, 0.500], [0.829, 0.329, 0.500], [0.329, 0.171, 0.500], [0.000, 0.000, 0.000], [0.500, 0.500, 0.000]]
}

Record 3
{
  "formula": "YSc4Ga5",
  "functional": "PBE",
  "state": "optimized geometry",
  "ef_ev_per_fu": -5.92,
  "volume_a3_per_cell": 197.0,
  "m_tot_mub_per_cell": 0.0,
  "lattice_angstrom": [[-1.686, -1.650, 2.461], [1.988, -2.730, -0.468], [10.923, 5.984, 11.497]],
  "species": ["Y", "Ga", "Ga", "Ga", "Ga", "Ga", "Sc", "Sc", "Sc", "Sc"],
  "fractional_positions": [[0.000, 0.000, 0.000], [0.500, 0.500, 0.113], [0.500, 0.500, 0.307], [0.500, 0.500, 0.887], [0.500, 0.500, 0.693], [0.500, 0.500, 0.500], [0.000, 0.000, 0.403], [0.000, 0.000, 0.209], [0.000, 0.000, 0.597], [0.000, 0.000, 0.791]]
}

Record 4
{
  "formula": "Y2ScGa2",
  "functional": "PBE",
  "state": "optimized geometry",
  "ef_ev_per_fu": -2.88,
  "polymorph_energy_mev_per_atom": 0,
  "volume_a3_per_cell": 239.7,
  "m_tot_mub_per_cell": 0.0,
  "lattice_angstrom": [[7.497, 0.000, 0.000], [0.000, 7.497, 0.000], [0.000, 0.000, 4.265]],
  "species": ["Y", "Y", "Y", "Y", "Ga", "Ga", "Ga", "Ga", "Sc", "Sc"],
  "fractional_positions": [[0.824, 0.324, 0.500], [0.324, 0.176, 0.500], [0.676, 0.824, 0.500], [0.176, 0.676, 0.500], [0.623, 0.123, 0.000], [0.123, 0.377, 0.000], [0.377, 0.877, 0.000], [0.877, 0.623, 0.000], [0.000, 0.000, 0.000], [0.500, 0.500, 0.000]]
}

Record 5
{
  "formula": "YSc2Ga",
  "functional": "PBE",
  "state": "optimized geometry",
  "ef_ev_per_fu": -1.16,
  "volume_a3_per_cell": 94.8,
  "m_tot_mub_per_cell": 0.0,
  "lattice_angstrom": [[3.351, 0.000, 0.000], [0.000, 3.351, 0.000], [0.000, 0.000, 8.440]],
  "species": ["Sc", "Sc", "Ga", "Y"],
  "fractional_positions": [[0.000, 0.000, 0.204], [0.000, 0.000, 0.796], [0.500, 0.500, 0.000], [0.500, 0.500, 0.500]]
}

Record 6
{
  "formula": "YSc2Ga",
  "functional": "PBE",
  "state": "optimized geometry",
  "ef_ev_per_fu": -0.12,
  "volume_a3_per_cell": 201.7,
  "m_tot_mub_per_cell": 0.0,
  "lattice_angstrom": [[-4.959, 3.609, 5.356], [3.093, -4.601, 5.964], [1.185, 1.621, 6.195]],
  "species": ["Y", "Y", "Ga", "Ga", "Sc", "Sc", "Sc", "Sc"],
  "fractional_positions": [[0.750, 0.250, 0.500], [0.000, 0.000, 0.000], [0.250, 0.750, 0.500], [0.500, 0.500, 0.000], [0.575, 0.125, 0.250], [0.875, 0.825, 0.750], [0.375, 0.425, 0.750], [0.175, 0.625, 0.250]]
}

Record 7
{
  "formula": "Y2ScGa2",
  "functional": "PBE",
  "state": "optimized geometry",
  "ef_ev_per_fu": -2.63,
  "polymorph_energy_mev_per_atom": 49,
  "volume_a3_per_cell": 242.1,
  "m_tot_mub_per_cell": 0.0,
  "lattice_angstrom": [[-1.833, 1.376, -3.763], [-3.753, -4.477, -2.389], [-8.421, 3.568, 2.827]],
  "species": ["Sc", "Sc", "Ga", "Ga", "Ga", "Ga", "Y", "Y", "Y", "Y"],
  "fractional_positions": [[0.787, 0.060, 0.366], [0.213, 0.940, 0.634], [0.872, 0.684, 0.572], [0.970, 0.165, 0.895], [0.128, 0.316, 0.428], [0.030, 0.835, 0.105], [0.315, 0.270, 0.101], [0.685, 0.730, 0.899], [0.519, 0.647, 0.315], [0.481, 0.353, 0.685]]
}

Record 8
{
  "formula": "YSc2Ga",
  "functional": "PBE",
  "state": "optimized geometry",
  "ef_ev_per_fu": -1.18,
  "volume_a3_per_cell": 197.8,
  "m_tot_mub_per_cell": 0.0,
  "lattice_angstrom": [[-2.940, -2.486, 1.700], [1.958, -2.290, -5.174], [5.954, -4.222, 4.122]],
  "species": ["Sc", "Sc", "Sc", "Sc", "Y", "Y", "Ga", "Ga"],
  "fractional_positions": [[0.354, 0.709, 0.943], [0.646, 0.291, 0.443], [0.646, 0.291, 0.057], [0.354, 0.709, 0.557], [0.056, 0.113, 0.750], [0.944, 0.887, 0.250], [0.241, 0.483, 0.250], [0.759, 0.517, 0.750]]
}